Record 1
Entry from the Alexandria database: crystalline BeNi12Ge3 at its relaxed geometry (PBE).

extended XYZ file:
```
16
Lattice="3.554 0.000 0.000 0.000 3.554 0.000 0.000 0.000 14.082" Properties=species:S:1:pos:R:3 pbc="T T T"
Be 0.000 0.000 0.000
Ni 0.000 1.777 1.635
Ni 0.000 1.777 5.241
Ni 0.000 1.777 8.841
Ni 0.000 1.777 12.447
Ni 1.777 0.000 1.635
Ni 1.777 0.000 5.241
Ni 1.777 0.000 8.841
Ni 1.777 0.000 12.447
Ni 1.777 1.777 0.000
Ni 1.777 1.777 3.457
Ni 1.777 1.777 7.041
Ni 1.777 1.777 10.624
Ge 0.000 0.000 3.413
Ge 0.000 0.000 7.041
Ge 0.000 0.000 10.668
```

ΔE_f: -0.248 eV per atom
D(E_F): 15.84 states/eV/f.u.
Calculated volume: 11.1 Å³/atom

***

Record 2
Entry from the Alexandria database: crystalline Be2Ni2Ge at its relaxed geometry (PBE).

extended XYZ file:
```
10
Lattice="6.080 0.000 0.000 0.000 6.080 0.000 0.000 0.000 2.795" Properties=species:S:1:pos:R:3 pbc="T T T"
Be 0.758 2.282 0.000
Be 2.282 5.321 0.000
Be 3.798 0.758 0.000
Be 5.321 3.798 0.000
Ni 0.989 4.029 1.398
Ni 2.051 0.989 1.398
Ni 4.029 5.091 1.398
Ni 5.091 2.051 1.398
Ge 0.000 0.000 0.000
Ge 3.040 3.040 0.000
```

ΔE_f: -0.205 eV per atom
ΔE to the lowest computed polymorph: 0.000 eV/atom
D(E_F): 2.07 states/eV/f.u.
Calculated volume: 10.3 Å³/atom

***

Record 3
Entry from the Alexandria database: crystalline Be2Ni12Ge5 at its relaxed geometry (PBE).

extended XYZ file:
```
19
Lattice="5.342 -3.468 0.000 5.342 3.468 0.000 -0.032 0.000 6.015" Properties=species:S:1:pos:R:3 pbc="T T T"
Be 5.342 1.874 0.000
Be 5.342 -1.874 0.000
Ni 0.449 0.000 4.486
Ni 4.073 2.007 3.651
Ni 3.681 1.253 1.271
Ni 6.578 2.007 2.363
Ni 4.414 0.000 5.201
Ni 6.970 1.253 4.744
Ni 3.681 -1.253 1.271
Ni 6.237 0.000 0.814
Ni 4.073 -2.007 3.651
Ni 6.970 -1.253 4.744
Ni 6.578 -2.007 2.363
Ni 10.202 0.000 1.529
Ge 1.863 0.000 0.409
Ge 2.625 0.000 3.650
Ge 5.326 0.000 3.007
Ge 8.026 0.000 2.365
Ge 8.788 0.000 5.606
```

ΔE_f: -0.173 eV per atom
D(E_F): 11.02 states/eV/f.u.
Calculated volume: 11.7 Å³/atom

***

Record 4
Entry from the Alexandria database: crystalline BeNi2Ge2 at its relaxed geometry (PBE).

extended XYZ file:
```
10
Lattice="5.949 0.000 0.000 0.000 5.949 0.000 0.000 0.000 3.659" Properties=species:S:1:pos:R:3 pbc="T T T"
Be 0.000 0.000 0.000
Be 2.975 2.975 0.000
Ni 0.907 2.068 0.000
Ni 2.068 5.042 0.000
Ni 3.882 0.907 0.000
Ni 5.042 3.882 0.000
Ge 0.960 3.935 1.830
Ge 2.014 0.960 1.830
Ge 3.935 4.989 1.830
Ge 4.989 2.014 1.830
```

ΔE_f: -0.009 eV per atom
ΔE to the lowest computed polymorph: 0.000 eV/atom
D(E_F): 2.11 states/eV/f.u.
Calculated volume: 13.0 Å³/atom

***

Record 5
Entry from the Alexandria database: crystalline BeNi2Ge at its relaxed geometry (PBE).

extended XYZ file:
```
4
Lattice="3.736 0.000 0.000 0.000 3.736 0.000 0.000 0.000 3.123" Properties=species:S:1:pos:R:3 pbc="T T T"
Be 0.000 0.000 0.000
Ni 0.000 1.868 1.562
Ni 1.868 0.000 1.562
Ge 1.868 1.868 0.000
```

ΔE_f: -0.277 eV per atom
D(E_F): 2.02 states/eV/f.u.
Calculated volume: 10.9 Å³/atom

***

Record 6
Entry from the Alexandria database: crystalline Be2NiGe at its relaxed geometry (PBE).

extended XYZ file:
```
8
Lattice="-3.266 3.266 2.281 3.266 -3.266 2.281 3.266 3.266 -2.281" Properties=species:S:1:pos:R:3 pbc="T T T"
Be 1.633 1.423 -0.570
Be 1.844 -1.633 2.851
Be 1.633 1.844 1.711
Be 1.423 4.900 0.570
Ni 0.000 0.000 0.000
Ni 0.000 3.266 1.141
Ge 3.266 0.000 1.141
Ge 0.000 0.000 2.281
```

ΔE_f: 0.362 eV per atom
D(E_F): 1.62 states/eV/f.u.
Calculated volume: 12.2 Å³/atom

***

Record 7
Entry from the Alexandria database: crystalline Be2NiGe at its relaxed geometry (PBE).

extended XYZ file:
```
4
Lattice="3.528 0.000 0.000 0.000 3.528 0.000 0.000 0.000 3.380" Properties=species:S:1:pos:R:3 pbc="T T T"
Be 0.000 1.764 0.000
Be 1.764 0.000 0.000
Ni 0.000 0.000 1.690
Ge 1.764 1.764 1.690
```

ΔE_f: -0.077 eV per atom
D(E_F): 1.37 states/eV/f.u.
Calculated volume: 10.5 Å³/atom

***

Record 8
Entry from the Alexandria database: crystalline BeNi2Ge at its relaxed geometry (PBE).

extended XYZ file:
```
8
Lattice="-1.767 1.767 7.864 1.767 -1.767 7.864 1.767 1.767 -7.864" Properties=species:S:1:pos:R:3 pbc="T T T"
Be 0.000 0.000 0.000
Be 0.000 1.767 3.932
Ni 2.651 0.827 -1.966
Ni 0.827 0.884 1.966
Ni -0.884 0.940 5.898
Ni 0.940 0.884 9.830
Ge 1.767 0.000 3.932
Ge 0.000 0.000 7.864
```

ΔE_f: 0.105 eV per atom
D(E_F): 2.23 states/eV/f.u.
Calculated volume: 12.3 Å³/atom

***

Record 9
Entry from the Alexandria database: crystalline BeNi2Ge2 at its relaxed geometry (PBE).

extended XYZ file:
```
10
Lattice="6.929 0.000 0.000 0.000 6.929 0.000 0.000 0.000 2.769" Properties=species:S:1:pos:R:3 pbc="T T T"
Be 0.000 0.000 0.000
Be 3.465 3.465 0.000
Ni 0.938 2.526 1.385
Ni 2.526 5.991 1.385
Ni 4.403 0.938 1.385
Ni 5.991 4.403 1.385
Ge 1.120 4.585 0.000
Ge 2.345 1.120 0.000
Ge 4.585 5.809 0.000
Ge 5.809 2.345 0.000
```

ΔE_f: 0.144 eV per atom
ΔE to the lowest computed polymorph: 0.152 eV/atom
D(E_F): 2.17 states/eV/f.u.
Calculated volume: 13.3 Å³/atom

***

Record 10
Entry from the Alexandria database: crystalline BeNi2Ge at its relaxed geometry (PBE).

extended XYZ file:
```
4
Lattice="2.865 0.000 0.000 0.000 2.865 0.000 0.000 0.000 5.338" Properties=species:S:1:pos:R:3 pbc="T T T"
Be 0.000 0.000 0.000
Ni 1.432 1.432 1.251
Ni 1.432 1.432 4.086
Ge 0.000 0.000 2.669
```

ΔE_f: -0.222 eV per atom
D(E_F): 2.76 states/eV/f.u.
Calculated volume: 11.0 Å³/atom

***

Record 11
Entry from the Alexandria database: crystalline Be5Ni6Ge at its relaxed geometry (PBE).

extended XYZ file:
```
12
Lattice="3.817 0.000 0.000 0.000 5.285 0.000 -1.527 0.000 5.711" Properties=species:S:1:pos:R:3 pbc="T T T"
Be 0.000 0.000 0.000
Be 0.245 2.643 3.759
Be 0.237 0.000 3.817
Be 2.053 0.000 1.894
Be 2.045 2.643 1.952
Ni 0.149 1.289 1.954
Ni 0.149 3.996 1.954
Ni 1.909 1.259 0.000
Ni 1.909 4.027 0.000
Ni 2.141 1.289 3.756
Ni 2.141 3.996 3.756
Ge 0.000 2.643 0.000
```

ΔE_f: -0.401 eV per atom
D(E_F): 5.52 states/eV/f.u.
Calculated volume: 9.6 Å³/atom

***

Record 12
Entry from the Alexandria database: crystalline BeNiGe3 at its relaxed geometry (PBE).

extended XYZ file:
```
5
Lattice="4.397 0.000 0.000 0.000 4.397 0.000 0.000 0.000 4.397" Properties=species:S:1:pos:R:3 pbc="T T T"
Be 0.000 0.000 0.000
Ni 2.198 2.198 2.198
Ge 0.000 0.000 2.198
Ge 0.000 2.198 0.000
Ge 2.198 0.000 0.000
```

ΔE_f: 0.671 eV per atom
ΔE to the lowest computed polymorph: 0.065 eV/atom
D(E_F): 2.67 states/eV/f.u.
Calculated volume: 17.0 Å³/atom

***

Record 13
Entry from the Alexandria database: crystalline BeNi4Ge at its relaxed geometry (PBE).

extended XYZ file:
```
12
Lattice="4.060 0.000 0.000 0.000 7.260 0.000 0.000 0.000 4.579" Properties=species:S:1:pos:R:3 pbc="T T T"
Be 0.000 0.000 0.000
Be 2.030 0.000 2.289
Ni 0.000 1.146 1.890
Ni 0.000 2.294 4.234
Ni 0.000 4.966 0.344
Ni 0.000 6.115 2.688
Ni 2.030 1.146 0.399
Ni 2.030 2.294 2.634
Ni 2.030 4.966 1.945
Ni 2.030 6.115 4.180
Ge 0.000 3.630 2.289
Ge 2.030 3.630 0.000
```

ΔE_f: -0.150 eV per atom
D(E_F): 3.74 states/eV/f.u.
Calculated volume: 11.2 Å³/atom

***

Record 14
Entry from the Alexandria database: crystalline Be2Ni2Ge at its relaxed geometry (PBE).

extended XYZ file:
```
10
Lattice="6.223 0.000 0.000 0.000 6.223 0.000 0.000 0.000 2.777" Properties=species:S:1:pos:R:3 pbc="T T T"
Be 0.858 2.254 0.000
Be 2.254 5.366 0.000
Be 3.969 0.858 0.000
Be 5.366 3.969 0.000
Ni 0.940 4.051 1.388
Ni 2.172 0.940 1.388
Ni 4.051 5.284 1.388
Ni 5.284 2.172 1.388
Ge 0.000 0.000 1.388
Ge 3.112 3.112 1.388
```

ΔE_f: -0.184 eV per atom
ΔE to the lowest computed polymorph: 0.021 eV/atom
D(E_F): 1.57 states/eV/f.u.
Calculated volume: 10.8 Å³/atom

***

Record 15
Entry from the Alexandria database: crystalline Np2BeNi3Ge4 at its relaxed geometry (PBE).

extended XYZ file:
```
10
Lattice="4.075 0.000 0.000 0.000 4.075 0.000 0.000 0.000 9.637" Properties=species:S:1:pos:R:3 pbc="T T T"
Np 0.000 2.037 2.366
Np 2.037 0.000 7.271
Be 2.037 2.037 0.000
Ni 0.000 0.000 0.000
Ni 0.000 2.037 6.041
Ni 2.037 0.000 3.596
Ge 0.000 0.000 4.819
Ge 0.000 2.037 8.376
Ge 2.037 0.000 1.261
Ge 2.037 2.037 4.819
```

ΔE_f: -0.318 eV per atom
D(E_F): 20.48 states/eV/f.u.
Calculated volume: 16.0 Å³/atom